Record 1
# Ba3Ac2TbTe6 | Alexandria | PBE | relaxed
# - Energy relative to the elements, uncorrected: -1591 meV per atom
data_Ba3Ac2TbTe6
_chemical_formula_sum 'Ba6 Ac4 Tb2 Te12'
_cell_length_a 8.240
_cell_length_b 14.253
_cell_length_c 8.401
_cell_angle_alpha 90.00
_cell_angle_beta 109.12
_cell_angle_gamma 90.00
_space_group_name_H-M_alt 'C 1 2/m 1'
_space_group_IT_number 12
_space_group_name_Hall '-C 2y'
loop_
_atom_site_label
_atom_site_fract_x
_atom_site_fract_y
_atom_site_fract_z
Ba1 0.000 0.000 0.000
Ba2 0.000 0.328 0.000
Ac1 0.000 0.166 0.500
Tb1 0.000 0.500 0.500
Te1 0.235 0.341 0.728
Te2 0.240 0.500 0.268

Record 2
# Ce2Pr3Sb3 | Alexandria | PBE | relaxed
# - Energy relative to the elements, uncorrected: -924 meV per atom
data_Ce2Pr3Sb3
_chemical_formula_sum 'Ce4 Pr6 Sb6'
_cell_length_a 9.4025
_cell_length_b 9.4025
_cell_length_c 6.4273
_cell_angle_alpha 90.00
_cell_angle_beta 90.00
_cell_angle_gamma 120.00
_space_group_name_H-M_alt 'P 63/m c m'
_space_group_IT_number 193
_space_group_name_Hall '-P 6c 2'
loop_
_atom_site_label
_atom_site_fract_x
_atom_site_fract_y
_atom_site_fract_z
Ce1 0.3333 0.6667 0.0000
Pr1 0.0000 0.2555 0.2500
Sb1 0.0000 0.3857 0.7500

Record 3
# NaTl2CrI6 | Alexandria | PBE | relaxed
# - Energy relative to the elements, uncorrected: -625 meV per atom
data_NaTl2CrI6
_chemical_formula_sum 'Na3 Tl6 Cr3 I18'
_cell_length_a 8.3069
_cell_length_b 8.3069
_cell_length_c 19.8036
_cell_angle_alpha 90.00
_cell_angle_beta 90.00
_cell_angle_gamma 120.00
_space_group_name_H-M_alt 'R 3'
_space_group_IT_number 146
_space_group_name_Hall 'R 3'
loop_
_atom_site_label
_atom_site_fract_x
_atom_site_fract_y
_atom_site_fract_z
Na1 0.0000 0.0000 0.0000
Tl1 0.0000 0.0000 0.2151
Tl2 0.0000 0.0000 0.7279
Cr1 0.0000 0.0000 0.5070
I1 0.0386 0.6084 0.2553
I2 0.1001 0.3645 0.0942

Record 4
# Tb2TmMg2 | Alexandria | PBE | relaxed
# - E_form: -11.0 meV/atom
# - Excess energy over the best structure of this formula in the dataset: 50 meV/atom
data_Tb2TmMg2
_chemical_formula_sum 'Tb8 Tm4 Mg8'
_cell_length_a 4.940
_cell_length_b 23.129
_cell_length_c 4.924
_cell_angle_alpha 90.00
_cell_angle_beta 90.00
_cell_angle_gamma 90.00
_space_group_name_H-M_alt 'C m c m'
_space_group_IT_number 63
_space_group_name_Hall '-C 2c 2'
loop_
_atom_site_label
_atom_site_fract_x
_atom_site_fract_y
_atom_site_fract_z
Tb1 0.000 0.053 0.250
Tb2 0.000 0.443 0.250
Tm1 0.000 0.161 0.750
Mg1 0.000 0.250 0.250
Mg2 0.000 0.336 0.750

Record 5
# Ac2PrTl | Alexandria | PBE | relaxed
# - E_form: -137.9 meV/atom
# - Excess energy over the best structure of this formula in the dataset: 14 meV/atom
data_Ac2PrTl
_chemical_formula_sum 'Ac2 Pr1 Tl1'
_cell_length_a 5.301
_cell_length_b 5.301
_cell_length_c 5.158
_cell_angle_alpha 90.00
_cell_angle_beta 90.00
_cell_angle_gamma 90.00
_space_group_name_H-M_alt 'P 4/m m m'
_space_group_IT_number 123
_space_group_name_Hall '-P 4 2'
loop_
_atom_site_label
_atom_site_fract_x
_atom_site_fract_y
_atom_site_fract_z
Ac1 0.000 0.500 0.000
Pr1 0.000 0.000 0.500
Tl1 0.500 0.500 0.500

Record 6
# DyCdGaO4 | Alexandria | PBE | relaxed
# - Energy relative to the elements, uncorrected: -2148 meV per atom
data_DyCdGaO4
_chemical_formula_sum 'Dy4 Cd4 Ga4 O16'
_cell_length_a 6.279
_cell_length_b 6.662
_cell_length_c 9.105
_cell_angle_alpha 90.00
_cell_angle_beta 90.00
_cell_angle_gamma 90.00
_space_group_name_H-M_alt 'I m m a'
_space_group_IT_number 74
_space_group_name_Hall '-I 2b 2'
loop_
_atom_site_label
_atom_site_fract_x
_atom_site_fract_y
_atom_site_fract_z
Dy1 0.000 0.000 0.000
Cd1 0.250 0.250 0.250
Ga1 0.000 0.250 0.629
O1 0.000 0.015 0.750
O2 0.249 0.250 0.992